[1]
Here is a geometry-optimized Cs4Na2Pd structure from Alexandria via LeMat-Bulk. Energies are from PBE.

Results
E_form	1.7	kcal/mol of atoms
M_tot	0.00	μB/f.u.

abc: 6.851 6.851 21.909
angles: 90.00 90.00 90.00
Space group I4/mmm (No. 139)
Inequivalent atoms, fractional coordinates:
Cs: 0.000 0.000 0.159
Cs: 0.000 0.500 0.000
Na: 0.000 0.000 0.356
Pd: 0.000 0.000 0.000

[2]
Here is a geometry-optimized Ba2LiMg12Ga3 structure from Alexandria via LeMat-Bulk. Energies are from PBE.

Results
E_form	4.2	kcal/mol of atoms
M_tot	0.00	μB/f.u.

abc: 9.9665 9.9665 19.9593
angles: 90.00 90.00 120.00
Space group R-3m (No. 166, hexagonal axes)
Inequivalent atoms, fractional coordinates:
Ba: 0.0000 0.0000 0.1001
Li: 0.0000 0.0000 0.5000
Mg: 0.0096 0.5048 0.1315
Mg: 0.0784 0.5392 0.3053
Ga: 0.0000 0.5000 0.0000

[3]
Here is a geometry-optimized Al2CoSnCl structure from Alexandria via LeMat-Bulk. Energies are from PBE.

Results
uncorrected formation energy	3.054	eV per formula unit
M_tot	1.15	μB/f.u.

abc: 5.093 5.093 4.094
angles: 90.00 90.00 90.00
Space group P4/mmm (No. 123)
Inequivalent atoms, fractional coordinates:
Al: 0.000 0.500 0.000
Co: 0.000 0.000 0.500
Sn: 0.500 0.500 0.500
Cl: 0.000 0.000 0.000

What did the second record say?
Here is a geometry-optimized Ba2LiMg12Ga3 structure from Alexandria via LeMat-Bulk. Energies are from PBE.

Results
E_form	4.2	kcal/mol of atoms
M_tot	0.00	μB/f.u.

abc: 9.9665 9.9665 19.9593
angles: 90.00 90.00 120.00
Space group R-3m (No. 166, hexagonal axes)
Inequivalent atoms, fractional coordinates:
Ba: 0.0000 0.0000 0.1001
Li: 0.0000 0.0000 0.5000
Mg: 0.0096 0.5048 0.1315
Mg: 0.0784 0.5392 0.3053
Ga: 0.0000 0.5000 0.0000

Q: What is the formula in the first record?
A: Cs4Na2Pd